# 1
10
Lattice="7.0166 0.0000 0.0000 0.0000 7.0166 0.0000 0.0000 0.0000 2.9015" Properties=species:S:1:pos:R:3 comment="InNi2Ru2, optimized geometry, DFT PBE" density_g_cm3=10.1 delta_e_f_ev_per_atom=0.30 pbc="T T T"
In 0.0000 0.0000 0.0000
In 3.5083 3.5083 0.0000
Ni 0.8348 2.6735 0.0000
Ni 2.6735 6.1817 0.0000
Ni 4.3431 0.8348 0.0000
Ni 6.1817 4.3431 0.0000
Ru 1.2152 4.7235 1.4507
Ru 2.2930 1.2152 1.4507
Ru 4.7235 5.8013 1.4507
Ru 5.8013 2.2930 1.4507

# 2
9
Lattice="5.3546 0.0000 0.0000 -2.6773 4.6372 0.0000 0.0000 0.0000 9.4347" Properties=species:S:1:pos:R:3 comment="Ho2Se, optimized geometry, DFT PBE" formation_energy_uncorrected_mev_per_atom=-841 density_g_cm3=8.7 pbc="T T T"
Ho 0.0000 0.0000 1.6966
Ho 0.0000 0.0000 7.7381
Ho 0.0000 3.0915 3.5571
Ho 0.0000 3.0915 9.0769
Ho 2.6773 1.5457 0.3578
Ho 2.6773 1.5457 5.8776
Se 0.0000 0.0000 4.7173
Se 0.0000 3.0915 6.2952
Se 2.6773 1.5457 3.1395

# 3
12
Lattice="4.6877 0.0000 0.0000 0.0000 4.6877 0.0000 0.0000 0.0000 14.0568" Properties=species:S:1:pos:R:3 comment="Ce2UIn9, optimized geometry, DFT PBE" density_g_cm3=8.3 delta_e_f_ev_per_atom=-0.27 pbc="T T T"
Ce 0.0000 0.0000 2.3693
Ce 0.0000 0.0000 11.6875
U 0.0000 0.0000 7.0284
In 0.0000 2.3438 0.0000
In 0.0000 2.3438 4.7261
In 0.0000 2.3438 9.3307
In 2.3438 0.0000 0.0000
In 2.3438 0.0000 4.7261
In 2.3438 0.0000 9.3307
In 2.3438 2.3438 2.3529
In 2.3438 2.3438 7.0284
In 2.3438 2.3438 11.7039

# 4
18
Lattice="8.4589 0.0000 0.0000 0.0000 8.4589 0.0000 0.0000 0.0000 4.3183" Properties=species:S:1:pos:R:3 comment="Mg6CuRh2, optimized geometry, DFT PBE" density_g_cm3=4.5 delta_e_f_ev_per_atom=-0.30 pbc="T T T"
Mg 0.2144 2.6440 0.0000
Mg 1.1132 7.3457 2.1591
Mg 1.5855 4.4439 2.1591
Mg 2.6440 0.2144 0.0000
Mg 3.1163 3.1163 0.0000
Mg 4.0150 6.8734 2.1591
Mg 4.4439 1.5855 2.1591
Mg 5.3426 5.3426 0.0000
Mg 5.8149 8.2445 0.0000
Mg 6.8734 4.0150 2.1591
Mg 7.3457 1.1132 2.1591
Mg 8.2445 5.8149 0.0000
Cu 0.0000 0.0000 0.0000
Cu 4.2294 4.2294 2.1591
Rh 1.6427 1.6427 2.1591
Rh 2.5868 5.8721 0.0000
Rh 5.8721 2.5868 0.0000
Rh 6.8162 6.8162 2.1591

# 5
4
Lattice="2.7592 0.0000 0.0000 0.0000 2.7592 0.0000 0.0000 0.0000 7.9320" Properties=species:S:1:pos:R:3 comment="CdCo2Ag, optimized geometry, DFT PBE" density_g_cm3=9.3 delta_e_f_ev_per_atom=0.46 pbc="T T T"
Cd 0.0000 0.0000 0.0000
Co 1.3796 1.3796 2.0363
Co 1.3796 1.3796 5.8957
Ag 0.0000 0.0000 3.9660

# 6
12
Lattice="2.7188 0.0000 0.0000 -1.3594 2.3545 0.0000 0.0000 0.0000 24.2686" Properties=species:S:1:pos:R:3 comment="MgMnCo2, optimized geometry, DFT PBE" density_g_cm3=6.3 delta_e_f_ev_per_atom=0.25 pbc="T T T"
Mg 0.0000 0.0000 0.0000
Mg 0.0000 1.5697 16.1791
Mg 1.3594 0.7848 8.0895
Mn 0.0000 0.0000 12.1343
Mn 0.0000 1.5697 4.0448
Mn 1.3594 0.7848 20.2238
Co 0.0000 0.0000 5.8934
Co 0.0000 0.0000 18.3752
Co 0.0000 1.5697 10.2856
Co 0.0000 1.5697 22.0725
Co 1.3594 0.7848 2.1961
Co 1.3594 0.7848 13.9830

# 7
18
Lattice="5.6056 -5.0513 0.0000 5.6056 5.0513 0.0000 -4.1657 0.0000 6.4060" Properties=species:S:1:pos:R:3 comment="DyCd2Ag6, optimized geometry, DFT PBE" density_g_cm3=9.5 delta_e_f_ev_per_atom=-0.07 pbc="T T T"
Dy 2.4813 4.1234 4.8045
Dy 4.5642 -4.1234 1.6015
Cd 1.4721 1.2794 3.6946
Cd 3.5549 -1.2794 0.4917
Cd 3.4906 1.2794 5.9143
Cd 5.5735 -1.2794 2.7113
Ag 2.9832 3.4243 1.8751
Ag 1.8576 0.9920 0.8070
Ag 6.1452 3.4243 1.3279
Ag 4.7245 1.3640 0.0868
Ag -0.2253 -0.9920 4.0100
Ag 4.4039 1.3640 3.1162
Ag 2.6416 -1.3640 3.2898
Ag 7.2708 0.9920 2.3960
Ag 2.3210 -1.3640 6.3192
Ag 0.9003 -3.4243 5.0781
Ag 5.1879 -0.9920 5.5990
Ag 4.0623 -3.4243 4.5309

# 8
20
Lattice="9.3698 0.0000 0.0000 0.0000 5.7820 0.0000 -1.1280 0.0000 8.4085" Properties=species:S:1:pos:R:3 comment="InPbAu3, optimized geometry, DFT PBE" density_g_cm3=13.3 delta_e_f_ev_per_atom=-0.11 pbc="T T T"
In 0.2143 1.2615 3.1493
In -0.3497 1.6295 7.3536
In 8.5915 4.1525 1.0549
In 8.0276 4.5204 5.2592
Pb 2.9068 3.4503 6.7288
Pb 3.4708 5.2226 2.5245
Pb 4.7711 0.5594 5.8840
Pb 5.3351 2.3316 1.6797
Au 0.7609 4.1014 3.4407
Au 0.1969 4.5716 7.6450
Au 1.4919 0.1663 5.4965
Au 2.0559 2.7247 1.2922
Au 2.3835 0.8001 8.1828
Au 2.9475 2.0908 3.9785
Au 5.2944 3.6911 4.4300
Au 5.8583 4.9818 0.2257
Au 6.1859 3.0573 7.1163
Au 6.7499 5.6157 2.9120
Au 8.0449 1.2104 0.7635
Au 7.4809 1.6806 4.9678

# 9
12
Lattice="8.7136 -2.1495 0.0000 8.7136 2.1495 0.0000 -4.3388 0.0000 9.0861" Properties=species:S:1:pos:R:3 comment="RbZn3Sb2, optimized geometry, DFT PBE" formation_energy_uncorrected_mev_per_atom=-165 density_g_cm3=5.1 pbc="T T T"
Rb 2.0159 0.0000 0.5001
Rb 11.0726 0.0000 8.5859
Zn 0.3009 0.0000 3.9428
Zn 2.3869 0.0000 5.3852
Zn 5.4894 0.0000 3.6120
Zn 7.5990 0.0000 5.4740
Zn 10.7016 0.0000 3.7009
Zn 12.7875 0.0000 5.1433
Sb -0.0469 0.0000 6.7147
Sb 4.9818 0.0000 6.5048
Sb 8.1066 0.0000 2.5813
Sb 13.1353 0.0000 2.3714

# 10
12
Lattice="3.9018 0.0000 0.0000 -1.9509 3.3791 0.0000 0.0000 0.0000 25.6273" Properties=species:S:1:pos:R:3 comment="Ca2CrCu, optimized geometry, DFT PBE" density_g_cm3=2.9 delta_e_f_ev_per_atom=0.53 pbc="T T T"
Ca 0.0000 0.0000 6.1136
Ca 0.0000 0.0000 19.5136
Ca 0.0000 2.2527 10.9712
Ca 0.0000 2.2527 23.1985
Ca 1.9509 1.1264 2.4288
Ca 1.9509 1.1264 14.6561
Cr 0.0000 0.0000 0.0000
Cr 0.0000 2.2527 17.0849
Cr 1.9509 1.1264 8.5424
Cu 0.0000 0.0000 12.8136
Cu 0.0000 2.2527 4.2712
Cu 1.9509 1.1264 21.3561

# 11
5
Lattice="4.3578 0.0000 0.0000 0.0000 4.3578 0.0000 0.0000 0.0000 4.7363" Properties=species:S:1:pos:R:3 comment="NbCr2OsSe, optimized geometry, DFT PBE" formation_energy_uncorrected_mev_per_atom=1152 density_g_cm3=8.6 pbc="T T T"
Nb 0.0000 0.0000 0.0000
Cr 0.0000 2.1789 2.3682
Cr 2.1789 0.0000 2.3682
Os 2.1789 2.1789 0.0000
Se 0.0000 0.0000 2.3682

# 12
5
Lattice="6.7450 0.0000 0.0000 0.0000 6.7450 0.0000 0.0000 0.0000 5.2832" Properties=species:S:1:pos:R:3 comment="Cs2TlPtI, optimized geometry, DFT PBE" formation_energy_uncorrected_mev_per_atom=-590 density_g_cm3=5.5 pbc="T T T"
Cs 0.0000 3.3725 0.0000
Cs 3.3725 0.0000 0.0000
Tl 0.0000 0.0000 2.6416
Pt 0.0000 0.0000 0.0000
I 3.3725 3.3725 2.6416

# 13
10
Lattice="4.7278 0.0000 0.0000 0.0000 4.7278 0.0000 0.0000 0.0000 12.2245" Properties=species:S:1:pos:R:3 comment="Sr2Ag4BiSb3, optimized geometry, DFT PBE" formation_energy_uncorrected_mev_per_atom=-422 density_g_cm3=7.2 pbc="T T T"
Sr 0.0000 2.3639 2.8046
Sr 2.3639 0.0000 9.4199
Ag 0.0000 0.0000 0.0000
Ag 0.0000 2.3639 7.8913
Ag 2.3639 0.0000 4.3332
Ag 2.3639 2.3639 0.0000
Bi 0.0000 0.0000 6.1123
Sb 0.0000 2.3639 10.5916
Sb 2.3639 0.0000 1.6329
Sb 2.3639 2.3639 6.1123

# 14
11
Lattice="6.6665 -4.5119 0.0000 6.6665 4.5119 0.0000 -0.0864 0.0000 5.9281" Properties=species:S:1:pos:R:3 comment="PdW2Cl8, optimized geometry, DFT PBE" formation_energy_uncorrected_mev_per_atom=-470 density_g_cm3=3.5 pbc="T T T"
Pd 0.0000 0.0000 0.0000
W 1.9030 0.0000 1.8736
W 11.3435 0.0000 4.0545
Cl 1.6821 0.0000 4.1836
Cl 5.1945 2.2856 4.1997
Cl 3.9807 0.0000 1.0983
Cl 8.0521 2.2856 1.7284
Cl 5.1945 -2.2856 4.1997
Cl 9.2658 0.0000 4.8299
Cl 8.0521 -2.2856 1.7284
Cl 11.5644 0.0000 1.7445

# 15
9
Lattice="3.5750 0.0000 0.0000 -1.7875 3.0961 0.0000 0.0000 0.0000 25.8557" Properties=species:S:1:pos:R:3 comment="Tb, optimized geometry, DFT PBE" density_g_cm3=8.3 delta_e_f_ev_per_atom=0.00 pbc="T T T"
Tb 0.0000 0.0000 0.0000
Tb 0.0000 0.0000 5.7516
Tb 0.0000 0.0000 20.1041
Tb 0.0000 2.0641 11.4856
Tb 0.0000 2.0641 17.2372
Tb 0.0000 2.0641 22.9888
Tb 1.7875 1.0320 2.8670
Tb 1.7875 1.0320 8.6186
Tb 1.7875 1.0320 14.3702

# 16
16
Lattice="6.6772 0.0000 0.0000 0.0000 6.6772 0.0000 0.0000 0.0000 6.6772" Properties=species:S:1:pos:R:3 comment="Sb2OsPd, optimized geometry, DFT PBE" formation_energy_uncorrected_mev_per_atom=270 density_g_cm3=12.1 pbc="T T T"
Sb 1.6693 1.6693 1.6693
Sb 1.6693 1.6693 5.0079
Sb 1.6693 5.0079 1.6693
Sb 1.6693 5.0079 5.0079
Sb 5.0079 1.6693 1.6693
Sb 5.0079 1.6693 5.0079
Sb 5.0079 5.0079 1.6693
Sb 5.0079 5.0079 5.0079
Os 0.0000 0.0000 0.0000
Os 0.0000 3.3386 3.3386
Os 3.3386 0.0000 3.3386
Os 3.3386 3.3386 0.0000
Pd 0.0000 0.0000 3.3386
Pd 0.0000 3.3386 0.0000
Pd 3.3386 0.0000 0.0000
Pd 3.3386 3.3386 3.3386

# 17
4
Lattice="2.7109 0.0000 0.0000 0.0000 4.4055 0.0000 -0.9958 0.0000 5.2124" Properties=species:S:1:pos:R:3 comment="Mg2TcNi, optimized geometry, DFT PBE" density_g_cm3=5.5 delta_e_f_ev_per_atom=0.17 pbc="T T T"
Mg 0.0000 0.0000 0.0000
Mg 0.0267 2.2027 3.6687
Tc 1.1778 0.0000 2.4440
Ni 1.6529 2.2027 1.2751

# 18
12
Lattice="3.5641 0.0000 0.0000 -1.7820 3.0866 0.0000 0.0000 0.0000 32.7517" Properties=species:S:1:pos:R:3 comment="ZnHgTe2, optimized geometry, DFT PBE" formation_energy_uncorrected_mev_per_atom=35 density_g_cm3=7.2 pbc="T T T"
Zn 0.0000 0.0000 0.0000
Zn 0.0000 2.0577 21.8345
Zn 1.7821 1.0289 10.9172
Hg 0.0000 0.0000 16.3758
Hg 0.0000 2.0577 5.4586
Hg 1.7821 1.0289 27.2930
Te 0.0000 0.0000 8.9948
Te 0.0000 0.0000 23.7569
Te 0.0000 2.0577 12.8397
Te 0.0000 2.0577 30.8292
Te 1.7821 1.0289 1.9225
Te 1.7821 1.0289 19.9120

# 19
4
Lattice="3.9753 0.0000 0.0000 0.0000 3.9753 0.0000 0.0000 0.0000 7.9902" Properties=species:S:1:pos:R:3 comment="AcPrCd2, optimized geometry, DFT PBE" density_g_cm3=7.8 delta_e_f_ev_per_atom=-0.30 pbc="T T T"
Ac 0.0000 0.0000 0.0000
Pr 0.0000 0.0000 3.9951
Cd 1.9876 1.9876 2.1654
Cd 1.9876 1.9876 5.8248

# 20
18
Lattice="8.5575 -4.1228 0.0000 8.5575 4.1228 0.0000 0.0000 0.0000 8.2246" Properties=species:S:1:pos:R:3 comment="La5Al2Tl2, optimized geometry, DFT PBE" density_g_cm3=6.6 delta_e_f_ev_per_atom=-0.32 pbc="T T T"
La 0.0000 0.0000 0.0000
La 6.2727 2.5541 5.5774
La 6.2727 1.5687 1.4651
La 10.8424 2.5541 5.5774
La 10.8424 1.5687 1.4651
La 8.5575 0.0000 4.1123
La 6.2727 -1.5687 6.7595
La 6.2727 -2.5541 2.6472
La 10.8424 -1.5687 6.7595
La 10.8424 -2.5541 2.6472
Al 8.5575 3.2095 3.1686
Al 8.5575 0.9133 7.2810
Al 8.5575 -0.9133 0.9437
Al 8.5575 -3.2095 5.0560
Tl 3.7571 0.0000 0.0000
Tl 4.8004 0.0000 4.1123
Tl 12.3146 0.0000 4.1123
Tl 13.3579 0.0000 0.0000

Number 1: DOS at the Fermi energy 19.02 states/eV/cell, electronic total energy -6.270 eV/atom. Number 2: DOS at the Fermi energy 9.73 states/eV/cell, electronic total energy -5.054 eV/atom. Number 3: DOS at the Fermi energy 18.40 states/eV/cell, electronic total energy -4.256 eV/atom. Number 4: DOS at the Fermi energy 8.46 states/eV/cell, electronic total energy -3.451 eV/atom. Number 5: DOS at the Fermi energy 6.19 states/eV/cell, electronic total energy -4.036 eV/atom. Number 6: DOS at the Fermi energy 11.81 states/eV/cell, electronic total energy -5.998 eV/atom. Number 7: DOS at the Fermi energy 7.58 states/eV/cell, electronic total energy -2.683 eV/atom. Number 8: DOS at the Fermi energy 5.43 states/eV/cell, electronic total energy -3.366 eV/atom. Number 9: DOS at the Fermi energy 5.74 states/eV/cell, electronic total energy -2.337 eV/atom. Number 10: DOS at the Fermi energy 9.06 states/eV/cell, electronic total energy -3.899 eV/atom. Number 11: DOS at the Fermi energy 7.40 states/eV/cell, electronic total energy -7.654 eV/atom. Number 12: DOS at the Fermi energy 1.25 states/eV/cell, electronic total energy -2.923 eV/atom. Number 13: DOS at the Fermi energy 3.90 states/eV/cell, electronic total energy -3.523 eV/atom. Number 14: DOS at the Fermi energy 5.99 states/eV/cell, electronic total energy -4.640 eV/atom. Number 15: DOS at the Fermi energy 11.62 states/eV/cell, electronic total energy -4.630 eV/atom. Number 16: DOS at the Fermi energy 10.57 states/eV/cell, electronic total energy -5.897 eV/atom. Number 17: DOS at the Fermi energy 3.91 states/eV/cell, electronic total energy -4.659 eV/atom. Number 18: DOS at the Fermi energy 9.54 states/eV/cell, electronic total energy -1.930 eV/atom. Number 19: DOS at the Fermi energy 5.87 states/eV/cell, electronic total energy -2.979 eV/atom. Number 20: DOS at the Fermi energy 20.19 states/eV/cell, electronic total energy -4.414 eV/atom.